YEr3Ga2 | Alexandria via LeMat-Bulk | PBE | relaxed; calculated formation energy = -0.4378 eV/atom; offset from the most stable computed form = 0.000 eV/atom
1.0
4.8815 0.0000 0.0000
0.0000 9.3943 0.0000
0.0000 0.0000 6.6151
Y Er Ga
2 6 4
direct
0.0000 0.0509 0.0000 Y
0.0000 0.9491 0.5000 Y
0.0000 0.3197 0.6311 Er
0.0000 0.6803 0.1311 Er
0.5000 0.1843 0.2942 Er
0.5000 0.4487 0.9252 Er
0.5000 0.5513 0.4252 Er
0.5000 0.8157 0.7942 Er
0.0000 0.3630 0.1746 Ga
0.0000 0.6370 0.6746 Ga
0.5000 0.1374 0.7491 Ga
0.5000 0.8626 0.2491 Ga